Below is an optimized crystal structure of Ca2TaPt2, with properties calculated at the PBE level.

abc: 6.843 6.843 4.753
angles: 90.00 90.00 90.00
Element x y z (fractional)
Ca  0.174  0.674  0.500
Ca  0.674  0.826  0.500
Ca  0.826  0.326  0.500
Ca  0.326  0.174  0.500
Pt  0.360  0.860  0.000
Pt  0.860  0.640  0.000
Pt  0.640  0.140  0.000
Pt  0.140  0.360  0.000
Ta  0.000  0.000  0.000
Ta  0.500  0.500  0.000

Results
spin magnetization = 0.00 μB/cell
raw total energy = -6.127 eV per atom
DOS(E_F) = 7.55 states/eV/f.u.